1.
! CsSrRe (PBE, relaxed); values from VASP
&SYSTEM
  ibrav = 0, nat = 3, ntyp = 3
/
ATOMIC_SPECIES
Cs 132.91 Cs.upf
Sr 87.62 Sr.upf
Re 186.21 Re.upf
CELL_PARAMETERS angstrom
0.000 3.890 3.890
3.890 0.000 3.890
3.890 3.890 0.000
ATOMIC_POSITIONS angstrom
Cs 0.000 0.000 0.000
Sr 3.890 3.890 3.890
Re 1.945 1.945 1.945
! Magnetization ... 2.150 μB/cell
! Offset from the most stable computed form ... 0 meV per atom
! Raw total energy ... -3.20 eV/atom
! Space group ... F-43m (216)

2.
! LuInFeSe3 (PBE, relaxed); values from VASP
&SYSTEM
  ibrav = 0, nat = 24, ntyp = 4
/
ATOMIC_SPECIES
Lu 174.97 Lu.upf
In 114.82 In.upf
Fe 55.84 Fe.upf
Se 78.96 Se.upf
CELL_PARAMETERS angstrom
15.043 0.000 0.000
0.000 3.954 0.000
0.000 0.000 10.795
ATOMIC_POSITIONS angstrom
Lu 0.272 0.989 1.714
Lu 7.249 2.966 7.112
Lu 7.794 0.989 3.683
Lu 14.771 2.966 9.081
In 3.600 0.989 4.972
In 3.921 2.966 10.369
In 11.122 0.989 0.426
In 11.443 2.966 5.823
Fe 0.139 2.966 4.530
Fe 7.382 0.989 9.927
Fe 7.661 2.966 0.868
Fe 14.904 0.989 6.265
Se 1.321 2.966 6.671
Se 1.486 0.989 10.016
Se 1.915 2.966 2.841
Se 5.607 0.989 8.239
Se 6.035 2.966 4.619
Se 6.200 0.989 1.274
Se 8.843 2.966 9.521
Se 9.008 0.989 6.176
Se 9.436 2.966 2.556
Se 13.128 0.989 7.953
Se 13.557 2.966 0.779
Se 13.722 0.989 4.124
! Magnetization ... 14.762 μB/cell
! Offset from the most stable computed form ... 0 meV per atom
! Raw total energy ... -5.22 eV/atom
! Space group ... Pnma (62)

3.
! LiUTe (PBE, relaxed); values from VASP
&SYSTEM
  ibrav = 0, nat = 3, ntyp = 3
/
ATOMIC_SPECIES
Li 6.94 Li.upf
U 238.03 U.upf
Te 127.60 Te.upf
CELL_PARAMETERS angstrom
0.000 3.529 3.529
3.529 0.000 3.529
3.529 3.529 0.000
ATOMIC_POSITIONS angstrom
Li 0.000 0.000 0.000
U 1.765 1.765 1.765
Te 3.529 3.529 3.529
! Magnetization ... 3.915 μB/cell
! Offset from the most stable computed form ... 234 meV per atom
! Raw total energy ... -5.11 eV/atom
! Space group ... F-43m (216)

4.
! Sc2AgSe3 (PBE, relaxed); values from VASP
&SYSTEM
  ibrav = 0, nat = 24, ntyp = 3
/
ATOMIC_SPECIES
Sc 44.96 Sc.upf
Ag 107.87 Ag.upf
Se 78.96 Se.upf
CELL_PARAMETERS angstrom
11.053 0.000 0.000
0.000 3.671 0.000
0.000 0.000 13.495
ATOMIC_POSITIONS angstrom
Sc 0.581 0.918 3.006
Sc 2.615 2.753 12.708
Sc 2.912 0.918 5.960
Sc 4.945 2.753 9.754
Sc 6.108 0.918 3.742
Sc 8.141 2.753 7.535
Sc 8.438 0.918 0.787
Sc 10.471 2.753 10.489
Ag 2.250 0.918 9.953
Ag 3.277 2.753 3.205
Ag 7.776 0.918 10.290
Ag 8.803 2.753 3.542
Se 0.661 0.918 12.027
Se 1.065 2.753 4.956
Se 2.664 0.918 1.336
Se 2.862 2.753 8.084
Se 4.461 0.918 11.703
Se 4.865 2.753 5.279
Se 6.187 0.918 8.216
Se 6.591 2.753 1.792
Se 8.191 0.918 5.412
Se 8.388 2.753 12.159
Se 9.988 0.918 8.540
Se 10.392 2.753 1.469
! Magnetization ... 0.843 μB/cell
! Offset from the most stable computed form ... 0 meV per atom
! Raw total energy ... -5.47 eV/atom
! Space group ... Pnma (62)

5.
! ErPuSi (PBE, relaxed); values from VASP
&SYSTEM
  ibrav = 0, nat = 3, ntyp = 3
/
ATOMIC_SPECIES
Er 167.26 Er.upf
Pu 244.00 Pu.upf
Si 28.09 Si.upf
CELL_PARAMETERS angstrom
0.000 3.399 3.399
3.399 0.000 3.399
3.399 3.399 0.000
ATOMIC_POSITIONS angstrom
Er 0.000 0.000 0.000
Pu 3.399 3.399 3.399
Si 1.700 1.700 1.700
! Magnetization ... 6.176 μB/cell
! Offset from the most stable computed form ... 0 meV per atom
! Raw total energy ... -8.32 eV/atom
! Space group ... F-43m (216)

6.
! NiH18C10S6 (PBE, relaxed); values from VASP
&SYSTEM
  ibrav = 0, nat = 70, ntyp = 4
/
ATOMIC_SPECIES
Ni 58.69 Ni.upf
H 1.01 H.upf
C 12.01 C.upf
S 32.06 S.upf
CELL_PARAMETERS angstrom
5.877 0.000 0.000
0.000 13.740 0.000
-2.567 0.000 10.202
ATOMIC_POSITIONS angstrom
Ni 0.000 0.000 0.000
Ni -1.284 6.870 5.101
H -1.340 1.328 5.641
H -0.057 5.542 0.540
H -1.822 10.255 8.186
H -0.539 10.354 3.085
H 0.102 9.287 0.864
H -1.182 11.323 5.966
H -0.469 9.339 4.541
H -1.752 11.270 9.642
H 1.062 7.787 0.877
H -0.222 12.822 5.979
H 0.960 9.463 3.491
H -0.323 11.146 8.592
H -0.364 3.303 9.849
H 0.920 3.567 4.748
H 1.405 2.175 3.732
H 0.122 4.695 8.833
H 0.984 10.047 6.531
H 2.268 10.563 1.430
H 1.042 3.177 8.773
H 2.325 3.693 3.671
H 3.188 9.045 1.369
H 1.904 11.565 6.471
H 2.390 10.172 5.454
H 3.674 10.437 0.353
H 3.633 2.594 1.611
H 2.349 4.276 6.712
H 3.531 0.917 4.224
H 2.248 5.953 9.325
H 5.062 2.470 0.560
H 3.778 4.400 5.662
H 4.491 2.417 4.237
H 3.208 4.453 9.338
H 3.848 3.385 7.117
H 5.132 3.485 2.016
H 3.366 8.198 9.662
H 4.650 12.412 4.561
C 0.708 8.610 0.242
C -0.576 11.999 5.343
C 0.115 10.029 3.905
C -1.169 10.580 9.006
C -0.369 7.693 7.493
C 0.915 12.916 2.392
C -0.697 9.406 9.858
C 0.586 11.204 4.757
C 1.776 3.014 4.339
C 0.493 3.856 9.440
C 2.817 9.883 0.763
C 1.533 10.726 5.864
C 2.723 2.536 5.445
C 4.007 4.334 0.344
C 2.395 0.824 7.810
C 3.678 6.046 2.709
C 4.478 3.159 1.196
C 3.195 3.710 6.297
C 3.886 1.740 4.859
C 2.602 5.130 9.961
S -1.889 1.025 8.374
S -0.606 5.845 3.273
S 1.797 0.121 1.269
S 0.513 6.749 6.370
S 0.436 8.291 8.875
S 1.719 12.318 3.774
S 1.590 1.421 6.429
S 2.874 5.449 1.328
S 2.797 6.991 3.832
S 1.513 13.619 8.933
S 3.915 7.895 6.929
S 5.199 12.715 1.828
! Magnetization ... 0.032 μB/cell
! Raw total energy ... -5.34 eV/atom
! Space group ... P2_1/c (14)

7.
! GdHo2N3 (PBE, relaxed); values from VASP
&SYSTEM
  ibrav = 0, nat = 6, ntyp = 3
/
ATOMIC_SPECIES
Gd 157.25 Gd.upf
Ho 164.93 Ho.upf
N 14.01 N.upf
CELL_PARAMETERS angstrom
3.461 0.000 0.000
-1.731 2.997 0.000
0.000 0.000 8.472
ATOMIC_POSITIONS angstrom
Gd 0.000 0.000 0.000
Ho 0.000 1.998 2.840
Ho 1.731 0.999 5.632
N 0.000 0.000 4.236
N 0.000 1.998 7.025
N 1.731 0.999 1.447
! Magnetization ... 0.000 μB/cell
! Raw total energy ... -8.16 eV/atom
! Space group ... P-3m1 (164)

8.
! Zr4Ge3W2C3 (PBE, relaxed); values from VASP
&SYSTEM
  ibrav = 0, nat = 24, ntyp = 4
/
ATOMIC_SPECIES
Zr 91.22 Zr.upf
Ge 72.64 Ge.upf
W 183.84 W.upf
C 12.01 C.upf
CELL_PARAMETERS angstrom
4.904 -2.849 0.000
4.904 2.849 0.000
-3.291 0.000 13.189
ATOMIC_POSITIONS angstrom
Zr 0.814 0.446 1.311
Zr 0.779 0.490 5.284
Zr -0.831 -0.446 7.906
Zr -0.867 -0.490 11.879
Zr 7.384 0.490 1.311
Zr 7.349 0.446 5.283
Zr 5.739 -0.490 7.905
Zr 5.704 -0.446 11.878
Ge 4.082 2.065 3.297
Ge 1.028 0.345 9.900
Ge 2.673 -0.345 3.305
Ge 3.845 0.345 9.884
Ge 5.490 -0.345 3.290
Ge 2.436 -2.065 9.892
W 4.040 0.499 1.056
W 4.123 0.499 5.539
W 2.395 -0.499 7.651
W 2.478 -0.499 12.133
C 2.452 1.424 0.000
C 2.464 1.385 6.592
C 5.699 1.385 0.002
C 0.807 -1.424 6.595
C 0.819 -1.385 13.187
C 4.054 -1.385 6.597
! Magnetization ... 0.020 μB/cell
! Raw total energy ... -9.03 eV/atom
! Space group ... C2/c (15)

9.
! Tb3Te4 (PBE, relaxed); values from VASP
&SYSTEM
  ibrav = 0, nat = 14, ntyp = 2
/
ATOMIC_SPECIES
Tb 158.93 Tb.upf
Te 127.60 Te.upf
CELL_PARAMETERS angstrom
7.320 0.000 0.000
0.000 15.050 0.000
0.000 0.000 4.369
ATOMIC_POSITIONS angstrom
Tb 0.000 0.000 0.000
Tb 0.096 3.763 2.184
Tb 3.564 11.288 2.184
Tb 3.660 7.525 0.000
Tb 3.756 3.762 2.184
Tb 7.225 11.287 2.184
Te 1.741 9.994 0.000
Te 1.741 13.774 2.184
Te 1.919 2.469 0.000
Te 1.920 6.249 2.184
Te 5.401 8.801 2.184
Te 5.401 12.580 0.000
Te 5.580 1.276 2.184
Te 5.580 5.055 0.000
! Magnetization ... 0.003 μB/cell
! Raw total energy ... -5.18 eV/atom
! Space group ... Pbam (55)

10.
! GdBiI2O2 (PBE, relaxed); values from VASP
&SYSTEM
  ibrav = 0, nat = 6, ntyp = 4
/
ATOMIC_SPECIES
Gd 157.25 Gd.upf
Bi 208.98 Bi.upf
I 126.90 I.upf
O 16.00 O.upf
CELL_PARAMETERS angstrom
3.987 0.000 0.000
0.000 3.987 0.000
0.000 0.000 9.262
ATOMIC_POSITIONS angstrom
Gd 0.000 0.000 0.000
Bi 1.994 1.994 2.359
I 0.000 0.000 4.236
I 1.994 1.994 7.394
O 0.000 1.994 1.118
O 1.994 0.000 1.118
! Magnetization ... 0.000 μB/cell
! Raw total energy ... -5.45 eV/atom
! Space group ... P4mm (99)